VASP calculation (PBE) on a geometry-optimized LaErMgGe structure.

The structure in POSCAR format:
```
LaErMgGe
1.0
5.249 0.000 0.000
2.625 4.546 0.000
2.625 1.515 4.286
Er Mg Ge La
1 1 1 1
Direct
0.000 0.000 0.000
0.750 0.750 0.750
0.250 0.250 0.250
0.500 0.500 0.500
```

## Properties
The calculation puts the formation energy at -0.366 eV/atom. Its total magnetic moment is 0.0 Bohr magnetons per cell. The density of states at the Fermi level is 2.824 states/eV per cell.